DFT (PBE-GGA) results for Re2MoN after structural relaxation.

Computed properties:
SG: I-42d, No. 122
Calculated volume in Å³/atom: 16.28
M_tot in μB/cell: 0.0
Fermi-level density of states in states/eV/cell: 5.7
Raw formation energy in eV per atom: 0.708

abc: 5.968 5.968 5.968
angles: 127.35 127.35 77.68
Positions (direct):
1 Re 0.035 0.625 0.910
2 Re 0.375 0.285 0.410
3 Re 0.715 0.125 0.090
4 Re 0.875 0.965 0.590
5 Mo 0.250 0.750 0.500
6 Mo 0.500 0.500 0.000
7 N 0.000 0.000 0.000
8 N 0.750 0.250 0.500